CuMo2O: relaxed, PBE+U.

a = 6.281 Å, b = 6.281 Å, c = 5.509 Å
α = 55.24°, β = 55.24°, γ = 90.00°
Sites, in units of the cell vectors:
Mo 0.544 0.125 0.250
Mo 0.206 0.625 0.250
Mo 0.375 0.456 0.750
Mo 0.875 0.794 0.750
O 0.500 0.500 0.000
O 0.250 0.750 0.500
Cu 0.000 0.000 0.000
Cu 0.750 0.250 0.500

Values from the calculation:
Magnetization, μB per formula unit: 5.07
D(E_F), states/eV/cell: 3.838
Raw total energy, eV per cell: -42.68
Crystal system: tetragonal